DFT (SCAN) results for a crystal of Li5Cu2Ge2 relaxed with PBEsol.

Cell and atoms, written as POSCAR:
```
Li5Cu2Ge2
1.0
4.160 0.000 0.000
-2.080 3.603 0.000
0.000 0.000 7.932
Li Cu Ge
5 2 2
Direct
0.000 0.000 0.000
0.333 0.667 0.115
0.333 0.667 0.433
0.667 0.333 0.567
0.667 0.333 0.885
0.000 0.000 0.312
0.000 0.000 0.688
0.333 0.667 0.759
0.667 0.333 0.241
```

Properties
Calculated total energy   -9.276 eV/atom